# 1
VASP calculation (PBE-GGA) on CdGaNiPd after structural relaxation.

Cell lengths 4.414, 4.414, 4.414 Å; angles 60.00, 60.00, 60.00 degrees
Fractional positions:
Cd 0.500 0.500 0.500
Ga 0.000 0.000 0.000
Ni 0.750 0.750 0.750
Pd 0.250 0.250 0.250

Output
Space group: F-43m, No. 216
Total magnetic moment: 0.00 μB/cell
VASP energy: -3.9353 eV/atom
Crystal system: cubic

# 2
VASP calculation (PBE-GGA) on CsSrTc after structural relaxation.

Cell lengths 5.446, 5.446, 5.446 Å; angles 60.00, 60.00, 60.00 degrees
Fractional positions:
Cs 0.000 0.000 0.000
Sr 0.250 0.250 0.250
Tc 0.750 0.750 0.750

Output
Space group: F-43m, No. 216
Total magnetic moment: 2.27 μB/cell
VASP energy: -2.5370 eV/atom
Crystal system: cubic

# 3
VASP calculation (PBE-GGA) on ScSiPt after structural relaxation.

Cell lengths 5.087, 4.121, 10.117 Å; angles 90.00, 90.00, 90.00 degrees
Fractional positions:
Pt 0.317 0.750 0.041
Pt 0.817 0.750 0.459
Pt 0.183 0.250 0.541
Pt 0.683 0.250 0.959
Sc 0.787 0.750 0.159
Sc 0.287 0.750 0.341
Sc 0.713 0.250 0.659
Sc 0.213 0.250 0.841
Si 0.168 0.250 0.133
Si 0.668 0.250 0.367
Si 0.332 0.750 0.633
Si 0.832 0.750 0.867

Output
Space group: Pnma, No. 62
Total magnetic moment: 0.00 μB/cell
VASP energy: -6.7728 eV/atom
Crystal system: orthorhombic

# 4
VASP calculation (PBE-GGA) on BeFeNi after structural relaxation.

Cell lengths 3.592, 3.592, 3.592 Å; angles 60.00, 60.00, 60.00 degrees
Fractional positions:
Be 0.000 0.000 0.000
Fe 0.250 0.250 0.250
Ni 0.750 0.750 0.750

Output
Space group: F-43m, No. 216
Total magnetic moment: 2.59 μB/cell
Crystal system: cubic
ΔE to the lowest computed polymorph: 0 meV per atom

# 5
VASP calculation (PBE-GGA) on BTePt after structural relaxation.

Cell lengths 4.148, 4.148, 4.148 Å; angles 60.00, 60.00, 60.00 degrees
Fractional positions:
B 0.000 0.000 0.000
Pt 0.250 0.250 0.250
Te 0.750 0.750 0.750

Output
Space group: F-43m, No. 216
Total magnetic moment: 0.00 μB/cell
Crystal system: cubic
ΔE to the lowest computed polymorph: 0 meV per atom

# 6
VASP calculation (PBE-GGA) on CsSm2CuTe3Se after structural relaxation.

Cell lengths 8.136, 8.136, 15.321 Å; angles 90.00, 90.00, 148.54 degrees
Fractional positions:
Cs 0.904 0.096 0.250
Cs 0.096 0.904 0.750
Cu 0.162 0.838 0.250
Cu 0.838 0.162 0.750
Se 0.580 0.420 0.250
Se 0.420 0.580 0.750
Sm 0.634 0.366 0.071
Sm 0.634 0.366 0.429
Sm 0.366 0.634 0.571
Sm 0.366 0.634 0.929
Te 0.000 0.000 0.000
Te 0.265 0.735 0.113
Te 0.265 0.735 0.387
Te 0.000 0.000 0.500
Te 0.735 0.265 0.613
Te 0.735 0.265 0.887

Output
Space group: Cmcm, No. 63
Total magnetic moment: 0.00 μB/cell
VASP energy: -4.6068 eV/atom
Crystal system: orthorhombic

# 7
VASP calculation (PBE-GGA) on CsRbNd after structural relaxation.

Cell lengths 6.893, 6.893, 6.893 Å; angles 60.00, 60.00, 60.00 degrees
Fractional positions:
Cs 0.000 0.000 0.000
Nd 0.250 0.250 0.250
Rb 0.750 0.750 0.750

Output
Space group: F-43m, No. 216
Total magnetic moment: 3.00 μB/cell
VASP energy: -1.1636 eV/atom
Crystal system: cubic

# 8
VASP calculation (PBE-GGA) on CdHg after structural relaxation.

Cell lengths 4.206, 4.206, 4.206 Å; angles 60.00, 60.00, 60.00 degrees
Fractional positions:
Cd 0.000 0.000 0.000
Hg 0.500 0.500 0.500

Output
Space group: Fm-3m, No. 225
VASP energy: -0.5605 eV/atom
Crystal system: cubic

# 9
VASP calculation (PBE-GGA) on TbDy2Al3Si2Pt after structural relaxation.

Cell lengths 4.226, 6.922, 6.922 Å; angles 119.99, 90.00, 90.00 degrees
Fractional positions:
Al 0.500 0.000 0.237
Al 0.500 0.763 0.763
Al 0.500 0.237 0.000
Dy 0.000 0.583 0.000
Dy 0.000 0.000 0.583
Pt 0.000 0.999 0.999
Si 0.500 0.667 0.333
Si 0.500 0.333 0.667
Tb 0.000 0.417 0.417

Output
Space group: Amm2, No. 38
Total magnetic moment: 0.01 μB/cell
VASP energy: -5.5407 eV/atom
Crystal system: orthorhombic

# 10
VASP calculation (PBE-GGA) on SrTl2Au2 after structural relaxation.

Cell lengths 4.612, 4.612, 7.188 Å; angles 108.71, 108.71, 90.00 degrees
Fractional positions:
Au 0.604 0.604 0.209
Au 0.396 0.396 0.791
Sr 0.000 0.000 0.000
Tl 0.750 0.250 0.500
Tl 0.250 0.750 0.500

Output
Space group: I4/mmm, No. 139
VASP energy: -2.9600 eV/atom
Crystal system: tetragonal

# 11
VASP calculation (PBE-GGA) on TmMg2 after structural relaxation.

Cell lengths 16.619, 3.470, 5.305 Å; angles 90.00, 90.00, 90.00 degrees
Fractional positions:
Mg 0.332 0.000 0.000
Mg 0.990 0.000 0.000
Mg 0.490 0.500 0.000
Mg 0.832 0.500 0.000
Mg 0.112 0.000 0.500
Mg 0.455 0.000 0.500
Mg 0.612 0.500 0.500
Mg 0.955 0.500 0.500
Tm 0.659 0.000 0.000
Tm 0.159 0.500 0.000
Tm 0.785 0.000 0.500
Tm 0.285 0.500 0.500

Output
Space group: Cmcm, No. 63
Total magnetic moment: 0.01 μB/cell
VASP energy: -2.5404 eV/atom
Crystal system: orthorhombic

# 12
VASP calculation (PBE-GGA) on HfNbCuSn after structural relaxation.

Cell lengths 4.721, 4.721, 4.721 Å; angles 60.00, 60.00, 60.00 degrees
Fractional positions:
Cu 0.750 0.750 0.750
Hf 0.500 0.500 0.500
Nb 0.250 0.250 0.250
Sn 0.000 0.000 0.000

Output
Space group: F-43m, No. 216
Total magnetic moment: 0.52 μB/cell
Crystal system: cubic
ΔE to the lowest computed polymorph: 0 meV per atom

# 13
VASP calculation (PBE-GGA) on SrYLu after structural relaxation.

Cell lengths 5.682, 5.682, 5.682 Å; angles 60.00, 60.00, 60.00 degrees
Fractional positions:
Lu 0.000 0.000 0.000
Sr 0.250 0.250 0.250
Y 0.750 0.750 0.750

Output
Space group: F-43m, No. 216
Total magnetic moment: 0.00 μB/cell
Crystal system: cubic
ΔE to the lowest computed polymorph: 0 meV per atom

# 14
VASP calculation (PBE-GGA) on Na2ZrZn after structural relaxation.

Cell lengths 4.969, 4.969, 4.969 Å; angles 60.00, 60.00, 60.00 degrees
Fractional positions:
Na 0.000 0.000 0.000
Na 0.750 0.750 0.750
Zn 0.500 0.500 0.500
Zr 0.250 0.250 0.250

Output
Space group: F-43m, No. 216
Total magnetic moment: 0.00 μB/cell
VASP energy: -2.6380 eV/atom
Crystal system: cubic

# 15
VASP calculation (PBE-GGA) on LiYAu2 after structural relaxation.

Cell lengths 4.931, 4.931, 8.206 Å; angles 90.00, 90.00, 120.00 degrees
Fractional positions:
Au 0.667 0.333 0.081
Au 0.667 0.333 0.419
Au 0.333 0.667 0.581
Au 0.333 0.667 0.919
Li 0.333 0.667 0.250
Li 0.667 0.333 0.750
Y 0.000 0.000 0.000
Y 0.000 0.000 0.500

Output
Space group: P6_3/mmc, No. 194
Total magnetic moment: 0.10 μB/cell
Crystal system: hexagonal
ΔE to the lowest computed polymorph: 157 meV per atom

# 16
VASP calculation (PBE-GGA) on CuAg3 after structural relaxation.

Cell lengths 9.446, 9.446, 9.446 Å; angles 17.42, 17.42, 17.42 degrees
Fractional positions:
Ag 0.255 0.255 0.255
Ag 0.500 0.500 0.500
Ag 0.745 0.745 0.745
Cu 0.000 0.000 0.000

Output
Space group: R-3m, No. 166
VASP energy: -2.9794 eV/atom
Crystal system: trigonal

# 17
VASP calculation (PBE-GGA) on SmTmC2Cl2 after structural relaxation.

Cell lengths 3.958, 3.958, 10.718 Å; angles 94.69, 94.69, 56.49 degrees
Fractional positions:
C 0.575 0.575 0.471
C 0.428 0.428 0.543
Cl 0.176 0.176 0.195
Cl 0.818 0.818 0.793
Sm 0.855 0.855 0.360
Tm 0.148 0.148 0.638

Output
Space group: Cm, No. 8
Total magnetic moment: 0.01 μB/cell
VASP energy: -6.4506 eV/atom
Crystal system: monoclinic

# 18
VASP calculation (PBE-GGA) on Lu2MgGe after structural relaxation.

Cell lengths 5.124, 5.124, 5.124 Å; angles 60.00, 60.00, 60.00 degrees
Fractional positions:
Ge 0.500 0.500 0.500
Lu 0.000 0.000 0.000
Lu 0.750 0.750 0.750
Mg 0.250 0.250 0.250

Output
Space group: F-43m, No. 216
Total magnetic moment: 0.03 μB/cell
VASP energy: -3.7283 eV/atom
Crystal system: cubic

# 19
VASP calculation (PBE-GGA) on CsAuClF2 after structural relaxation.

Cell lengths 7.066, 7.066, 7.066 Å; angles 122.57, 122.57, 85.61 degrees
Fractional positions:
Au 0.000 0.000 0.000
Au 0.500 0.500 0.000
Cl 0.280 0.280 0.000
Cl 0.720 0.720 0.000
Cs 0.750 0.250 0.500
Cs 0.250 0.750 0.500
F 0.792 0.208 0.000
F 0.208 0.792 0.000
F 0.208 0.208 0.416
F 0.792 0.792 0.584

Output
Space group: I4/mmm, No. 139
VASP energy: -3.4243 eV/atom
Crystal system: tetragonal

# 20
VASP calculation (PBE-GGA) on AsIrPt2 after structural relaxation.

Cell lengths 4.458, 4.458, 4.458 Å; angles 60.00, 60.00, 60.00 degrees
Fractional positions:
As 0.500 0.500 0.500
Ir 0.250 0.250 0.250
Pt 0.000 0.000 0.000
Pt 0.750 0.750 0.750

Output
Space group: F-43m, No. 216
Total magnetic moment: 0.05 μB/cell
VASP energy: -6.2138 eV/atom
Crystal system: cubic